DFT (PBE) results for an optimized crystal structure of GdAgHgRh.

The structure in CIF format:
```
data_GdAgHgRh
_chemical_formula_sum 'Gd4 Ag4 Hg4 Rh4'
_cell_length_a 6.8736
_cell_length_b 6.8736
_cell_length_c 6.8736
_cell_angle_alpha 90.00
_cell_angle_beta 90.00
_cell_angle_gamma 90.00
_symmetry_space_group_name_H-M 'F -4 3 m'
_symmetry_Int_Tables_number 216
_symmetry_space_group_name_Hall 'F -4 2 3'
loop_
_atom_site_label
_atom_site_fract_x
_atom_site_fract_y
_atom_site_fract_z
_atom_site_occupancy
Gd1 0.0000 0.0000 0.0000 1
Ag1 0.2500 0.2500 0.7500 1
Hg1 0.0000 0.0000 0.5000 1
Rh1 0.2500 0.2500 0.2500 1
```

Output
The calculation puts the energy relative to the elements at -0.3139 eV/atom. As for the uncorrected energy: -6.46 eV/atom.

=====

DFT (PBE) results for an optimized crystal structure of Ca3Tb3SmSe8.

The structure in CIF format:
```
data_Ca3Tb3SmSe8
_chemical_formula_sum 'Ca9 Tb9 Sm3 Se24'
_cell_length_a 8.2437
_cell_length_b 8.2437
_cell_length_c 20.5407
_cell_angle_alpha 90.00
_cell_angle_beta 90.00
_cell_angle_gamma 120.00
_symmetry_space_group_name_H-M 'R -3 m'
_symmetry_Int_Tables_number 166
_symmetry_space_group_name_Hall '-R 3 2"'
loop_
_atom_site_label
_atom_site_fract_x
_atom_site_fract_y
_atom_site_fract_z
_atom_site_occupancy
Ca1 0.0000 0.5000 0.0000 1
Tb1 0.0000 0.5000 0.5000 1
Sm1 0.0000 0.0000 0.5000 1
Se1 0.0000 0.0000 0.2486 1
Se2 0.0050 0.5025 0.7512 1
```

Output
The value obtained for the energy relative to the elements, uncorrected is -1.918 eV/atom. As for the uncorrected energy: -5.42 eV/atom.

=====

Q: Which of these has the lowest uncorrected energy?
A: GdAgHgRh

=====

Please write out number 1 again, unchanged.
DFT (PBE) results for an optimized crystal structure of GdAgHgRh.

The structure in CIF format:
```
data_GdAgHgRh
_chemical_formula_sum 'Gd4 Ag4 Hg4 Rh4'
_cell_length_a 6.8736
_cell_length_b 6.8736
_cell_length_c 6.8736
_cell_angle_alpha 90.00
_cell_angle_beta 90.00
_cell_angle_gamma 90.00
_symmetry_space_group_name_H-M 'F -4 3 m'
_symmetry_Int_Tables_number 216
_symmetry_space_group_name_Hall 'F -4 2 3'
loop_
_atom_site_label
_atom_site_fract_x
_atom_site_fract_y
_atom_site_fract_z
_atom_site_occupancy
Gd1 0.0000 0.0000 0.0000 1
Ag1 0.2500 0.2500 0.7500 1
Hg1 0.0000 0.0000 0.5000 1
Rh1 0.2500 0.2500 0.2500 1
```

Output
The calculation puts the energy relative to the elements at -0.3139 eV/atom. As for the uncorrected energy: -6.46 eV/atom.

=====

Q: Which of these has the highest uncorrected energy?
A: Ca3Tb3SmSe8

=====

Q: Which formula does entry 1 have?
A: GdAgHgRh